DFT (PBE) results for an optimized crystal structure of NaLa2RuN.

```
NaLa2RuN
1.0
5.333 0.000 0.000
0.000 5.333 0.000
0.000 0.000 3.934
Na La Ru N
1 2 1 1
Cartesian
0.000 0.000 0.000
0.000 2.667 1.967
2.667 0.000 1.967
2.667 2.667 0.000
2.667 2.667 1.967
```

DOS(E_F) (states/eV per atom): 0.57
Formation energy (no corrections) (meV/atom): -380
Crystal system: tetragonal
E_tot (eV/atom): -6.14
SG: No. 123

=====

DFT (PBE) results for an optimized crystal structure of CaSmSi.

```
CaSmSi
1.0
0.000 3.529 3.529
3.529 0.000 3.529
3.529 3.529 0.000
Ca Sm Si
1 1 1
Cartesian
0.000 0.000 0.000
3.529 3.529 3.529
1.765 1.765 1.765
```

DOS(E_F) (states/eV per atom): 0.70
Formation energy (no corrections) (meV/atom): -412
Crystal system: cubic
E_tot (eV/atom): -4.46
SG: No. 216

=====

DFT (PBE) results for an optimized crystal structure of AcZrPdO6.

```
AcZrPdO6
1.0
5.429 0.000 0.000
-2.715 4.702 0.000
0.000 0.000 10.771
Ac Zr Pd O
2 2 2 12
Cartesian
0.000 0.000 0.000
0.000 0.000 5.386
0.000 3.135 2.693
2.715 1.567 8.079
0.000 3.135 8.079
2.715 1.567 2.693
-0.938 1.763 6.937
-1.656 3.008 9.220
0.938 1.763 9.220
-0.718 4.633 6.937
1.996 0.069 1.551
1.058 1.694 3.834
1.656 3.008 6.937
0.718 4.633 9.220
3.433 0.069 3.834
1.777 2.938 1.551
4.371 1.694 1.551
3.653 2.938 3.834
```

DOS(E_F) (states/eV per atom): 0.84
Formation energy (no corrections) (meV/atom): -2099
Crystal system: trigonal
E_tot (eV/atom): -7.39
SG: No. 163

=====

DFT (PBE) results for an optimized crystal structure of K2CaCCl.

```
K2CaCCl
1.0
6.657 0.000 0.000
0.000 6.657 0.000
0.000 0.000 4.190
K Ca C Cl
2 1 1 1
Cartesian
0.000 3.328 0.000
3.328 0.000 0.000
0.000 0.000 0.000
0.000 0.000 2.095
3.328 3.328 2.095
```

DOS(E_F) (states/eV per atom): 0.15
Formation energy (no corrections) (meV/atom): 405
Crystal system: tetragonal
E_tot (eV/atom): -2.65
SG: No. 123

=====

DFT (PBE) results for an optimized crystal structure of NaCdTeI2.

```
NaCdTeI2
1.0
6.076 0.000 0.000
0.000 6.076 0.000
0.000 0.000 5.653
Na Cd Te I
1 1 1 2
Cartesian
0.000 0.000 0.000
3.038 3.038 2.827
3.038 3.038 0.000
0.000 3.038 2.827
3.038 0.000 2.827
```

DOS(E_F) (states/eV per atom): 1.01
Relative energy among the computed polymorphs (eV per formula unit): 0.00
Formation energy (no corrections) (meV/atom): -332
Crystal system: tetragonal
E_tot (eV/atom): -2.03
SG: No. 123

=====

DFT (PBE) results for an optimized crystal structure of AlTlTe2.

```
AlTlTe2
1.0
3.288 -5.498 0.000
3.288 5.498 0.000
-0.272 0.000 3.232
Al Tl Te
1 1 2
Cartesian
0.000 0.000 0.000
3.288 0.000 0.000
1.508 2.749 1.616
1.508 -2.749 1.616
```

DOS(E_F) (states/eV per atom): 0.23
Formation energy (no corrections) (meV/atom): 138
Crystal system: monoclinic
E_tot (eV/atom): -2.96
SG: No. 12

=====

DFT (PBE) results for an optimized crystal structure of YScTl2.

```
YScTl2
1.0
-1.929 2.462 5.509
1.929 -2.462 5.509
1.929 2.462 -5.509
Y Sc Tl
1 1 2
Cartesian
0.000 0.000 0.000
1.929 0.000 2.795
0.000 0.000 5.631
0.000 2.462 2.692
```

DOS(E_F) (states/eV per atom): 0.75
Crystal system: orthorhombic
E_tot (eV/atom): -4.64
SG: No. 44

=====

DFT (PBE) results for an optimized crystal structure of NbAs2SeBr.

```
NbAs2SeBr
1.0
5.114 0.000 0.000
0.000 5.114 0.000
0.000 0.000 4.916
Nb As Se Br
1 2 1 1
Cartesian
0.000 0.000 0.000
0.000 2.557 0.000
2.557 0.000 0.000
2.557 2.557 2.458
0.000 0.000 2.458
```

DOS(E_F) (states/eV per atom): 0.94
Relative energy among the computed polymorphs (eV per formula unit): 1.19
Formation energy (no corrections) (meV/atom): 350
Crystal system: tetragonal
E_tot (eV/atom): -4.56
SG: No. 123